AlFeSb2: relaxed, PBE.

Values from the calculation:
- Symmetry: Cmmm, No. 65
- Total energy: -4.705 eV/atom
- ρ: 6.7 g/cm³
- Uncorrected formation energy: 0.4070 eV/atom

```
AlFeSb2
1.0
4.8394 0.0213 0.0000
-0.9346 4.7484 0.0000
0.0000 0.0000 3.5285
Sb Al Fe
2 1 1
Direct
0.0000 0.0000 0.0000 Sb
0.5000 0.5000 0.0000 Sb
0.5000 0.0000 0.5000 Al
0.0000 0.5000 0.5000 Fe
```